No. 1
The following is a DFT calculation (PBE-GGA) of LaTaTl2F after structural relaxation.

abc: 5.0625 5.0625 4.7005
angles: 90.00 90.00 90.00
Atoms (fractional coordinates):
La 0.0000 0.0000 0.0000
Ta 0.5000 0.5000 0.0000
Tl 0.0000 0.5000 0.5000
Tl 0.5000 0.0000 0.5000
F 0.0000 0.0000 0.5000

---

No. 2
The following is a DFT calculation (PBE-GGA) of LaTbF after structural relaxation.

abc: 3.5143 3.5143 13.4097
angles: 90.00 90.00 120.00
Atoms (fractional coordinates):
La 0.0000 0.0000 0.0000
La 0.3333 0.6667 0.5000
Tb 0.3333 0.6667 0.2232
Tb 0.3333 0.6667 0.7768
F 0.0000 0.0000 0.3544
F 0.0000 0.0000 0.6456

Offset from the most stable computed form: 0.47 eV per formula unit

---

No. 3
The following is a DFT calculation (PBE-GGA) of La2TbF after structural relaxation.

abc: 9.0958 9.0958 9.0958
angles: 24.59 24.59 24.59
Atoms (fractional coordinates):
La 0.2230 0.2230 0.2230
La 0.7770 0.7770 0.7770
Tb 0.0000 0.0000 0.0000
F 0.5000 0.5000 0.5000

---

No. 4
The following is a DFT calculation (PBE-GGA) of La2TbF8 after structural relaxation.

abc: 7.8815 7.8815 5.3416
angles: 108.54 108.54 30.02
Atoms (fractional coordinates):
La 0.1786 0.1786 0.2083
La 0.8214 0.8214 0.7917
Tb 0.5000 0.5000 0.5000
F 0.0257 0.0257 0.3018
F 0.2203 0.2203 0.7928
F 0.3545 0.3545 0.5453
F 0.4038 0.4038 0.0802
F 0.5962 0.5962 0.9198
F 0.6455 0.6455 0.4547
F 0.7797 0.7797 0.2072
F 0.9743 0.9743 0.6982

---

No. 5
The following is a DFT calculation (PBE-GGA) of LaTbF after structural relaxation.

abc: 3.8531 3.8531 5.7754
angles: 90.00 90.00 120.00
Atoms (fractional coordinates):
La 0.0000 0.0000 0.0000
Tb 0.3333 0.6667 0.4908
F 0.6667 0.3333 0.2665

Offset from the most stable computed form: 0.00 eV per formula unit

---

No. 6
The following is a DFT calculation (PBE-GGA) of LaTbF6 after structural relaxation.

abc: 5.5153 5.5153 8.0968
angles: 90.00 90.00 90.00
Atoms (fractional coordinates):
La 0.0000 0.0000 0.0000
La 0.0000 0.0000 0.5000
Tb 0.5000 0.5000 0.2500
Tb 0.5000 0.5000 0.7500
F 0.2030 0.2485 0.1834
F 0.2030 0.2485 0.8166
F 0.2485 0.7970 0.3166
F 0.2485 0.7970 0.6834
F 0.3137 0.3385 0.5000
F 0.3385 0.6863 0.0000
F 0.6615 0.3137 0.0000
F 0.6863 0.6615 0.5000
F 0.7515 0.2030 0.3166
F 0.7515 0.2030 0.6834
F 0.7970 0.7515 0.1834
F 0.7970 0.7515 0.8166

---

No. 7
The following is a DFT calculation (PBE-GGA) of La2TcF after structural relaxation.

abc: 4.9433 4.9433 4.9433
angles: 60.00 60.00 60.00
Atoms (fractional coordinates):
La 0.2500 0.2500 0.2500
La 0.7500 0.7500 0.7500
Tc 0.0000 0.0000 0.0000
F 0.5000 0.5000 0.5000

Offset from the most stable computed form: 0.84 eV per formula unit

---

No. 8
The following is a DFT calculation (PBE-GGA) of La2TcF after structural relaxation.

abc: 7.6707 7.6707 7.6707
angles: 136.40 136.40 63.36
Atoms (fractional coordinates):
La 0.1235 0.6250 0.9985
La 0.3750 0.3735 0.4985
La 0.6265 0.1250 0.0015
La 0.8750 0.8765 0.5015
Tc 0.2500 0.7500 0.5000
Tc 0.5000 0.5000 0.0000
F 0.0000 0.0000 0.0000
F 0.7500 0.2500 0.5000

Offset from the most stable computed form: 0.00 eV per formula unit

---

Across the entries above, E_form (uncorrected) takes the values -28.9; -134.5; -111.4; -377.7; -149.7; -396.8; -81.3; -101.5 kJ per mole of atoms, respectively.
Across the entries above, uncorrected energy takes the values -4.98; -5.20; -5.24; -6.59; -5.36; -6.71; -6.37; -6.57 eV/atom, respectively.